YZrCo: optimized geometry, GGA-PBE.

Cell and atoms, written as POSCAR:
```
YZrCo
1.0
5.444 0.000 0.000
0.000 4.290 0.000
-1.436 0.000 5.639
Y Zr Co
2 2 2
Direct
0.073 0.250 0.276 Y
0.927 0.750 0.724 Y
0.463 0.250 0.813 Zr
0.537 0.750 0.187 Zr
0.381 0.750 0.574 Co
0.619 0.250 0.426 Co
```

Results
Formation energy from the elements   -0.15 eV/atom
Mass density   6.028 g cm⁻³
SG   No. 11
Energy relative to the lowest polymorph listed for this composition   0.0 meV/atom